Record 1
An optimized crystal structure of SrZnTe2Pd. Source: Alexandria via LeMat-Bulk, functional PBE-GGA.

Properties
Fermi-level density of states   6.79 states/eV/cell
Theoretical density   4.2 g/cm3
Total energy   -2.35 eV per atom
Energy relative to the elements, uncorrected   0.54 eV per atom
Space-group type   No. 123

a = 6.1626 Å, b = 5.3881 Å, c = 6.1626 Å
α = 90.00°, β = 90.00°, γ = 90.00°
Last column: nearest neighbours and their distance in Å.
Positions (direct):
Sr: 0.0000 0.0000 0.0000  2 Pd 2.69
Zn: 0.5000 0.5000 0.5000  8 Te 4.09, 4 Pd 4.36
Te: 0.0000 0.0000 0.5000  2 Sr 3.08
Te: 0.5000 0.0000 0.0000  2 Sr 3.08
Pd: 0.0000 0.5000 0.0000  2 Sr 2.69

---

Record 2
An optimized crystal structure of BiPCl. Source: Alexandria via LeMat-Bulk, functional PBE-GGA.

Properties
Theoretical density   5.7 g/cm3
Total energy   -4.12 eV per atom
Energy relative to the elements, uncorrected   -0.41 eV per atom
Space-group type   No. 12

a = 9.0279 Å, b = 4.2169 Å, c = 9.6211 Å
α = 90.00°, β = 119.25°, γ = 90.00°
Last column: nearest neighbours and their distance in Å.
Positions (direct):
Bi: 0.2342 0.0000 0.2979  3 P 2.77-2.82, 3 Cl 2.90-3.10
Bi: 0.7658 0.0000 0.7021  3 P 2.77-2.82, 3 Cl 2.90-3.10
Bi: 0.2342 0.5000 0.7979  3 P 2.77-2.82, 3 Cl 2.90-3.10
Bi: 0.7658 0.5000 0.2021  3 P 2.77-2.82, 3 Cl 2.90-3.10
P: 0.0288 0.0000 0.6231  1 P 2.16
P: 0.9712 0.0000 0.3769  1 P 2.16
P: 0.0288 0.5000 0.1231  1 P 2.16
P: 0.9712 0.5000 0.8769  1 P 2.16
Cl: 0.6475 0.0000 0.9328  3 Bi 2.90-3.10
Cl: 0.3525 0.0000 0.0672  3 Bi 2.90-3.10
Cl: 0.6475 0.5000 0.4328  3 Bi 2.90-3.10
Cl: 0.3525 0.5000 0.5672  3 Bi 2.90-3.10

---

Record 3
An optimized crystal structure of ZrSi2O. Source: Alexandria via LeMat-Bulk, functional PBE-GGA.

Properties
Fermi-level density of states   3.60 states/eV/cell
Theoretical density   4.3 g/cm3
Total energy   -6.54 eV per atom
Energy relative to the elements, uncorrected   -0.46 eV per atom
Space-group type   No. 122

a = 5.9401 Å, b = 5.9401 Å, c = 5.5009 Å
α = 57.32°, β = 57.32°, γ = 90.00°
Last column: nearest neighbours and their distance in Å.
Positions (direct):
Si: 0.5178 0.1250 0.2500  2 O 1.93
Si: 0.2322 0.6250 0.2500  2 O 1.93
Si: 0.3750 0.4822 0.7500  2 O 1.93
Si: 0.8750 0.7678 0.7500  2 O 1.93
O: 0.5000 0.5000 0.0000  4 Si 1.93
O: 0.2500 0.7500 0.5000  4 Si 1.93
Zr: 0.0000 0.0000 0.0000  4 Si 2.74
Zr: 0.7500 0.2500 0.5000  4 Si 2.74